## one
Below is PrTm3In3 after structural relaxation, with properties calculated at the PBE-GGA level.

a = 9.2964 Å, b = 9.2964 Å, c = 9.2964 Å
α = 90.00°, β = 90.00°, γ = 90.00°
With the nearest neighbours (Å) after each atom.
Space group P2_13 (No. 198)
One atom of each set of equivalent atoms:
Pr1 0.0482 0.4518 0.5482 [4 per cell]  6 In 3.32-3.60, 4 Tm 3.49-3.52
Tm1 0.1194 0.6194 0.8806 [4 per cell]  6 In 3.17-3.30, 1 Tm 3.42, 3 Pr 3.52
Tm2 0.1685 0.1685 0.1685 [4 per cell]  6 In 3.12-3.21, 1 Tm 3.42, 1 Pr 3.49
Tm3 0.1997 0.8003 0.3003 [4 per cell]  6 In 3.14-3.31
In1 0.0048 0.8027 0.5986 [12 per cell]  6 Tm 3.12-3.31, 1 Pr 3.32, 2 In 3.42

Crystal system   cubic
D(E_F)   5.9 states/eV/f.u.
Magnetic moment   0.0 Bohr magnetons per cell

---

## two
Below is PrTm3In3 after structural relaxation, with properties calculated at the PBE-GGA level.

a = 9.3585 Å, b = 9.3585 Å, c = 5.1676 Å
α = 90.00°, β = 90.00°, γ = 120.00°
With the nearest neighbours (Å) after each atom.
Space group P6_3/m (No. 176)
One atom of each set of equivalent atoms:
Pr1 0.3333 0.6667 0.2500 [2 per cell]  9 In 3.37-3.44, 3 Tm 3.70
Tm1 0.0013 0.2291 0.2500 [6 per cell]  4 In 3.11-3.38, 4 Tm 3.35
In1 0.0703 0.4505 0.7500 [6 per cell]  4 Tm 3.11-3.38, 2 In 3.24, 3 Pr 3.37-3.44

Crystal system   hexagonal
D(E_F)   6.1 states/eV/f.u.
Magnetic moment   0.0 Bohr magnetons per cell

---

Quick ranking, most stable first: two, one.

---

## one
Below is PrTmIn4 after structural relaxation, with properties calculated at the PBE-GGA level.

a = 10.4439 Å, b = 18.1526 Å, c = 3.4878 Å
α = 90.00°, β = 90.00°, γ = 90.00°
With the nearest neighbours (Å) after each atom.
Space group Pbam (No. 55)
One atom of each set of equivalent atoms:
Pr1 0.0828 0.1365 0.0000 [4 per cell]  10 In 3.38-3.66, 2 Pr 3.49
Tm1 0.1175 0.4253 0.0000 [4 per cell]  10 In 3.22-3.31, 2 Tm 3.49
In1 0.0079 0.2903 0.5000 [4 per cell]  3 In 2.88-2.97, 2 Tm 3.22
In2 0.1305 0.9695 0.5000 [4 per cell]  3 In 2.94-3.05, 2 Tm 3.26
In3 0.1518 0.5761 0.5000 [4 per cell]  2 In 2.94-2.99, 2 Tm 3.26
In4 0.2090 0.8075 0.5000 [4 per cell]  3 In 2.88-3.05

Crystal system   orthorhombic
D(E_F)   3.9 states/eV/f.u.
Magnetic moment   0.0 Bohr magnetons per cell

---

## two
Below is PrTmIn4 after structural relaxation, with properties calculated at the PBE-GGA level.

a = 6.8936 Å, b = 6.9493 Å, c = 7.9923 Å
α = 90.00°, β = 90.00°, γ = 90.00°
With the nearest neighbours (Å) after each atom.
Space group Cmmm (No. 65)
One atom of each set of equivalent atoms:
Pr1 0.0000 0.0000 0.0000 [2 per cell]  8 In 3.26
Tm1 0.0000 0.5000 0.5000 [2 per cell]  8 In 3.06
In1 0.2500 0.2500 0.2702 [8 per cell]  2 Tm 3.06, 2 Pr 3.26

Crystal system   orthorhombic
D(E_F)   3.1 states/eV/f.u.
Magnetic moment   0.0 Bohr magnetons per cell

---

## three
Below is PrTmIn4 after structural relaxation, with properties calculated at the PBE-GGA level.

a = 8.5482 Å, b = 8.5482 Å, c = 8.5482 Å
α = 90.00°, β = 90.00°, γ = 90.00°
With the nearest neighbours (Å) after each atom.
Space group F-43m (No. 216)
One atom of each set of equivalent atoms:
Pr1 0.0000 0.0000 0.0000 [4 per cell]  12 In 3.54, 4 Tm 3.70
Tm1 0.2500 0.2500 0.2500 [4 per cell]  12 In 3.54, 4 Pr 3.70
In1 0.1249 0.1249 0.6249 [16 per cell]  6 In 3.02

Crystal system   cubic
D(E_F)   4.5 states/eV/f.u.
Magnetic moment   0.0 Bohr magnetons per cell

---

Quick ranking, most stable first: three, one, two.

---

## one
Below is Pr4Tm5In after structural relaxation, with properties calculated at the PBE-GGA level.

a = 10.7603 Å, b = 10.7603 Å, c = 5.7860 Å
α = 90.00°, β = 90.00°, γ = 90.00°
With the nearest neighbours (Å) after each atom.
Space group I4mm (No. 107)
One atom of each set of equivalent atoms:
Pr1 0.0000 0.3106 0.0000 [8 per cell]  7 Tm 3.41-3.76, 1 In 3.70
Tm1 0.0000 0.0000 0.2114 [2 per cell]  2 In 2.81-2.98
Tm2 0.1834 0.1834 0.4999 [8 per cell]  1 In 3.08, 1 Tm 3.25, 2 Pr 3.41
In1 0.0000 0.0000 0.7258 [2 per cell]  6 Tm 2.81-3.08

Crystal system   tetragonal
D(E_F)   14.6 states/eV/f.u.
Magnetic moment   0.0 Bohr magnetons per cell

---

## two
Below is Pr4Tm5In after structural relaxation, with properties calculated at the PBE-GGA level.

a = 3.6181 Å, b = 3.6181 Å, c = 24.2157 Å
α = 90.00°, β = 90.00°, γ = 90.00°
With the nearest neighbours (Å) after each atom.
Space group P4/mmm (No. 123)
One atom of each set of equivalent atoms:
Pr1 0.0000 0.0000 0.1035 [2 per cell]  8 Tm 3.58, 4 Pr 3.62
Pr2 0.0000 0.0000 0.3131 [2 per cell]  8 Tm 3.58-3.63, 4 Pr 3.62
Tm1 0.5000 0.5000 0.0000 [1 per cell]  8 Pr 3.58, 4 Tm 3.62
Tm2 0.5000 0.5000 0.2069 [2 per cell]  8 Pr 3.58-3.63, 4 Tm 3.62
Tm3 0.5000 0.5000 0.4166 [2 per cell]  4 In 3.26, 4 Pr 3.58, 4 Tm 3.62
In1 0.0000 0.0000 0.5000 [1 per cell]  8 Tm 3.26, 4 In 3.62

Crystal system   tetragonal
D(E_F)   12.1 states/eV/f.u.
Magnetic moment   0.0 Bohr magnetons per cell

---

Quick ranking, most stable first: two, one.

---

## one
Below is Pr2Tm2In3 after structural relaxation, with properties calculated at the PBE-GGA level.

a = 4.6704 Å, b = 24.9890 Å, c = 3.4365 Å
α = 90.00°, β = 90.00°, γ = 90.00°
With the nearest neighbours (Å) after each atom.
Space group Cmmm (No. 65)
One atom of each set of equivalent atoms:
Pr1 0.0000 0.0733 0.0000 [4 per cell]  1 Tm 3.29, 8 In 3.43-3.53, 3 Pr 3.44-3.66
Tm1 0.0000 0.2051 0.0000 [4 per cell]  4 In 3.17, 4 Tm 3.24-3.44, 1 Pr 3.29
In1 0.0000 0.3460 0.5000 [4 per cell]  4 Tm 3.17, 2 In 3.44, 4 Pr 3.53
In2 0.0000 0.5000 0.5000 [2 per cell]  8 Pr 3.43, 2 In 3.44

Crystal system   orthorhombic
D(E_F)   6.7 states/eV/f.u.
Magnetic moment   0.0 Bohr magnetons per cell

---

## two
Below is Pr2Tm2In3 after structural relaxation, with properties calculated at the PBE-GGA level.

a = 3.7884 Å, b = 6.7484 Å, c = 9.1459 Å
α = 68.54°, β = 89.95°, γ = 73.75°
With the nearest neighbours (Å) after each atom.
Space group P-1 (No. 2)
One atom of each set of equivalent atoms:
Pr1 0.1116 0.2736 0.4497 [2 per cell]  3 In 3.28-3.31, 1 Pr 3.39
Tm1 0.3708 0.7582 0.1757 [2 per cell]  5 In 3.18-3.32
In1 0.0000 0.5000 0.0000 [1 per cell]  4 In 3.04, 4 Tm 3.32
In2 0.3195 0.8626 0.7970 [2 per cell]  2 In 3.04, 3 Tm 3.18-3.27, 3 Pr 3.28-3.31

Crystal system   triclinic
D(E_F)   7.0 states/eV/f.u.
Magnetic moment   0.0 Bohr magnetons per cell

---

Quick ranking, most stable first: one, two.

---

## one
Below is PrTm6In after structural relaxation, with properties calculated at the PBE-GGA level.

a = 6.6958 Å, b = 6.6958 Å, c = 24.1660 Å
α = 90.00°, β = 90.00°, γ = 120.00°
With the nearest neighbours (Å) after each atom.
Space group R-3m (No. 166, hexagonal axes)
One atom of each set of equivalent atoms:
Pr1 0.0000 0.0000 0.0000 [3 per cell]  12 Tm 3.74
Tm1 0.0010 0.5005 0.0686 [18 per cell]  1 In 3.06, 5 Tm 3.31-3.36
In1 0.0000 0.0000 0.5000 [3 per cell]  6 Tm 3.06

Crystal system   trigonal
D(E_F)   15.3 states/eV/f.u.
Magnetic moment   4.2 Bohr magnetons per cell

---

## two
Below is PrTm6In after structural relaxation, with properties calculated at the PBE-GGA level.

a = 4.8772 Å, b = 4.8772 Å, c = 9.9177 Å
α = 90.00°, β = 90.00°, γ = 90.00°
With the nearest neighbours (Å) after each atom.
Space group P4/mmm (No. 123)
One atom of each set of equivalent atoms:
Pr1 0.0000 0.0000 0.0000 [1 per cell]  12 Tm 3.45-3.54
Tm1 0.0000 0.5000 0.2584 [4 per cell]  2 In 3.42, 8 Tm 3.42-3.54, 2 Pr 3.54
Tm2 0.5000 0.5000 0.0000 [1 per cell]  4 Pr 3.45, 8 Tm 3.54
Tm3 0.5000 0.5000 0.5000 [1 per cell]  8 Tm 3.42, 4 In 3.45
In1 0.0000 0.0000 0.5000 [1 per cell]  12 Tm 3.42-3.45

Crystal system   tetragonal
D(E_F)   9.1 states/eV/f.u.
Magnetic moment   0.0 Bohr magnetons per cell

---

Quick ranking, most stable first: two, one.

---

## one
Below is Pr4TmIn after structural relaxation, with properties calculated at the PBE-GGA level.

a = 5.7324 Å, b = 21.5953 Å, c = 6.5104 Å
α = 90.00°, β = 90.00°, γ = 90.00°
With the nearest neighbours (Å) after each atom.
Space group Cmc2_1 (No. 36)
One atom of each set of equivalent atoms:
Pr1 0.0000 0.0448 0.0000 [4 per cell]  2 In 3.19-3.23, 3 Pr 3.24-3.56
Pr2 0.0000 0.1882 0.1480 [4 per cell]  4 Pr 3.19-3.29, 1 In 3.19
Pr3 0.0000 0.2484 0.6846 [4 per cell]  3 Pr 3.19-3.29, 1 In 3.24, 1 Tm 3.53
Pr4 0.0000 0.4377 0.8186 [4 per cell]  2 In 3.36, 2 Tm 3.52-3.75, 2 Pr 3.56
Tm1 0.0000 0.3630 0.2986 [4 per cell]  2 In 3.36, 5 Pr 3.52-3.75
In1 0.0000 0.1040 0.5510 [4 per cell]  6 Pr 3.19-3.36, 2 Tm 3.36

Crystal system   orthorhombic
D(E_F)   6.8 states/eV/f.u.
Magnetic moment   0.0 Bohr magnetons per cell

---

## two
Below is Pr4TmIn after structural relaxation, with properties calculated at the PBE-GGA level.

a = 3.6268 Å, b = 30.9593 Å, c = 7.0203 Å
α = 90.00°, β = 90.00°, γ = 90.00°
With the nearest neighbours (Å) after each atom.
Space group Cmcm (No. 63)
One atom of each set of equivalent atoms:
Pr1 0.0000 0.0000 0.0000 [4 per cell]  8 Pr 3.51-3.63, 4 In 3.53
Pr2 0.0000 0.1599 0.0089 [8 per cell]  6 Pr 3.38-3.64, 3 Tm 3.45-3.63, 2 In 3.50
Pr3 0.0000 0.4175 0.2500 [4 per cell]  2 In 3.51, 10 Pr 3.51-3.63
Tm1 0.0000 0.2571 0.2500 [4 per cell]  6 Pr 3.45-3.63, 2 Tm 3.63
In1 0.0000 0.4201 0.7500 [4 per cell]  10 Pr 3.50-3.53, 2 In 3.63

Crystal system   orthorhombic
D(E_F)   8.6 states/eV/f.u.
Magnetic moment   0.0 Bohr magnetons per cell

---

Quick ranking, most stable first: two, one.